Entry 1:
# BaLiBe2, optimized geometry, DFT PBE-GGA
# - ΔH_f (0 K) (meV per atom) = 515
# - magnetic moment (μB per formula unit) = 0.000
# - V (Å³/atom) = 22.9
# - E (eV/atom) = -2.31
# - energy above the lowest structure with this stoichiometry (kJ/mol of atoms) = 16.2
data_BaLiBe2
_chemical_formula_sum 'Ba1 Li1 Be2'
_cell_length_a 3.757
_cell_length_b 4.372
_cell_length_c 5.678
_cell_angle_alpha 90.00
_cell_angle_beta 101.34
_cell_angle_gamma 90.00
_space_group_name_H-M_alt 'P 1'
_space_group_IT_number 1
_space_group_name_Hall 'P 1'
loop_
_atom_site_label
_atom_site_type_symbol
_atom_site_fract_x
_atom_site_fract_y
_atom_site_fract_z
Ba1 Ba 0.000 0.000 0.000
Li1 Li 0.500 0.000 0.500
Be1 Be 0.274 0.500 0.586
Be2 Be 0.726 0.500 0.414

***

Entry 2:
# Ba2LiBe, optimized geometry, DFT PBE-GGA
# - ΔH_f (0 K) (meV per atom) = 374
# - magnetic moment (μB per formula unit) = 0.000
# - V (Å³/atom) = 35.4
# - E (eV/atom) = -2.00
data_Ba2LiBe
_chemical_formula_sum 'Ba2 Li1 Be1'
_cell_length_a 3.946
_cell_length_b 3.946
_cell_length_c 9.092
_cell_angle_alpha 90.00
_cell_angle_beta 90.00
_cell_angle_gamma 90.00
_space_group_name_H-M_alt 'P 1'
_space_group_IT_number 1
_space_group_name_Hall 'P 1'
loop_
_atom_site_label
_atom_site_type_symbol
_atom_site_fract_x
_atom_site_fract_y
_atom_site_fract_z
Ba1 Ba 0.000 0.000 0.000
Ba2 Ba 0.500 0.500 0.407
Li1 Li 0.500 0.500 0.742
Be1 Be 0.000 0.000 0.625